VASP calculation (GGA-PBE) on an optimized crystal structure of ScMnBe2.

Unit cell a=2.9408 b=2.9457 c=6.3295 alpha=62.27 beta=90.00 gamma=90.00
Closest atoms and distances in Å follow each position.
Fractional coordinates of all 4 atoms:
Sc: 0.5000 0.7500 0.7500  8 Be 2.72, 2 Mn 2.80, 4 Sc 2.94-2.95
Be: 0.0000 0.9361 0.0638  1 Be 2.09, 4 Mn 2.33
Be: 0.0000 0.5639 0.4362  1 Be 2.09, 4 Mn 2.33
Mn: 0.5000 0.2500 0.2500  8 Be 2.33


VASP calculation (GGA-PBE) on an optimized crystal structure of ScMnBe2.

Unit cell a=4.8585 b=4.8585 c=4.8585 alpha=145.23 beta=128.55 gamma=63.60
Closest atoms and distances in Å follow each position.
Fractional coordinates of all 4 atoms:
Sc: 0.2419 0.7419 0.5000  8 Be 2.58-2.80, 4 Mn 2.70-2.81
Be: 0.9650 0.9650 0.0000  2 Be 2.13
Be: 0.7756 0.2756 0.5000  2 Be 2.13
Mn: 0.5176 0.5176 0.0000  6 Be 2.58-2.60, 4 Sc 2.70-2.81


VASP calculation (GGA-PBE) on an optimized crystal structure of ScMnBe2.

Unit cell a=7.6306 b=7.6306 c=7.6306 alpha=21.97 beta=21.97 gamma=21.97
Closest atoms and distances in Å follow each position.
Fractional coordinates of all 4 atoms:
Sc: 0.7500 0.7500 0.7500  6 Be 2.71, 6 Sc 2.91
Be: 0.9883 0.9883 0.9883  3 Mn 2.32
Be: 0.5117 0.5117 0.5117  3 Mn 2.32
Mn: 0.2500 0.2500 0.2500  6 Be 2.32


VASP calculation (GGA-PBE) on an optimized crystal structure of Sc2MnBe.

Unit cell a=5.3050 b=5.3050 c=4.6282 alpha=70.33 beta=70.33 gamma=33.09
Closest atoms and distances in Å follow each position.
Fractional coordinates of all 4 atoms:
Sc: 0.9832 0.9832 0.0423  3 Mn 2.79-3.03, 4 Be 2.80, 4 Sc 3.01-3.03
Sc: 0.7792 0.7792 0.6963  3 Be 2.82-2.96, 4 Mn 2.83-2.86, 4 Sc 3.01-3.03
Be: 0.5297 0.5297 0.5067  2 Mn 2.33
Mn: 0.2079 0.2079 0.2548  2 Be 2.33


VASP calculation (GGA-PBE) on an optimized crystal structure of Sc2MnBe.

Unit cell a=3.0594 b=3.0595 c=7.0556 alpha=90.00 beta=90.00 gamma=90.00
Closest atoms and distances in Å follow each position.
Fractional coordinates of all 4 atoms:
Sc: 0.0000 0.0000 0.9353  1 Be 2.63, 4 Mn 2.81
Sc: 0.5000 0.5000 0.3197  1 Mn 2.56, 4 Be 2.76
Be: 0.0000 0.0000 0.5630  4 Mn 2.32
Mn: 0.5000 0.5000 0.6821  4 Be 2.32, 1 Sc 2.56


VASP calculation (GGA-PBE) on an optimized crystal structure of Sc2MnBe.

Unit cell a=3.9560 b=3.9560 c=9.7062 alpha=78.24 beta=78.24 gamma=90.00
Closest atoms and distances in Å follow each position.
Fractional coordinates of all 8 atoms:
Sc: 0.6210 0.1250 0.2500  2 Be 2.71, 2 Mn 2.72, 4 Sc 2.78-2.82
Sc: 0.1290 0.6250 0.2500  2 Be 2.71, 2 Mn 2.72, 4 Sc 2.78-2.82
Sc: 0.3750 0.3790 0.7500  2 Be 2.71, 2 Mn 2.72, 4 Sc 2.78-2.82
Sc: 0.8750 0.8710 0.7500  2 Be 2.71, 2 Mn 2.72, 4 Sc 2.78-2.82
Be: 0.5000 0.5000 0.0000  4 Sc 2.71, 4 Mn 2.80
Be: 0.2500 0.7500 0.5000  4 Sc 2.71, 4 Mn 2.80
Mn: 0.0000 0.0000 0.0000  4 Sc 2.72, 4 Be 2.80
Mn: 0.7500 0.2500 0.5000  4 Sc 2.72, 4 Be 2.80


VASP calculation (GGA-PBE) on an optimized crystal structure of Sc4MnBe.

Unit cell a=5.6504 b=5.6504 c=5.6504 alpha=60.00 beta=60.00 gamma=60.00
Closest atoms and distances in Å follow each position.
Fractional coordinates of all 6 atoms:
Sc: 0.3746 0.8762 0.3746  6 Sc 2.82-2.83
Sc: 0.8762 0.3746 0.3746  6 Sc 2.82-2.83
Sc: 0.3746 0.3746 0.8762  6 Sc 2.82-2.83
Sc: 0.3746 0.3746 0.3746  6 Sc 2.82-2.83
Mn: 0.0000 0.0000 0.0000  12 Sc 3.31, 4 Be 3.46
Be: 0.7500 0.7500 0.7500  12 Sc 3.31, 4 Mn 3.46


VASP calculation (GGA-PBE) on an optimized crystal structure of Sc2MnBe.

Unit cell a=6.1022 b=6.1022 c=6.1022 alpha=36.32 beta=36.32 gamma=36.32
Closest atoms and distances in Å follow each position.
Fractional coordinates of all 4 atoms:
Sc: 0.0326 0.0326 0.0326  3 Be 2.68, 3 Mn 2.71
Sc: 0.2190 0.2190 0.2190  3 Mn 2.71, 3 Be 2.75
Be: 0.4559 0.4559 0.4559  3 Mn 2.20
Mn: 0.7925 0.7925 0.7925  3 Be 2.20


VASP calculation (GGA-PBE) on an optimized crystal structure of ScMnBe3.

Unit cell a=4.0161 b=4.0161 c=4.0161 alpha=90.00 beta=90.00 gamma=90.00
Closest atoms and distances in Å follow each position.
Fractional coordinates of all 5 atoms:
Sc: 0.5000 0.5000 0.5000  12 Be 2.84
Be: 0.0000 0.5000 0.0000  2 Mn 2.01
Be: 0.0000 0.0000 0.5000  2 Mn 2.01
Be: 0.5000 0.0000 0.0000  2 Mn 2.01
Mn: 0.0000 0.0000 0.0000  6 Be 2.01


VASP calculation (GGA-PBE) on an optimized crystal structure of ScMnBe4.

Unit cell a=4.4958 b=4.4958 c=4.4958 alpha=60.00 beta=60.00 gamma=60.00
Closest atoms and distances in Å follow each position.
Fractional coordinates of all 6 atoms:
Be: 0.1310 0.6230 0.6230  6 Be 2.21-2.28
Be: 0.6230 0.6230 0.6230  6 Be 2.21-2.28
Be: 0.6230 0.1310 0.6230  6 Be 2.21-2.28
Be: 0.6230 0.6230 0.1310  6 Be 2.21-2.28
Mn: 0.2500 0.2500 0.2500  12 Be 2.63, 4 Sc 2.75
Sc: 0.0000 0.0000 0.0000  12 Be 2.64, 4 Mn 2.75


VASP calculation (GGA-PBE) on an optimized crystal structure of Sc2MnBe.

Unit cell a=5.0213 b=5.0213 c=5.0213 alpha=133.21 beta=133.21 gamma=68.32
Closest atoms and distances in Å follow each position.
Fractional coordinates of all 4 atoms:
Sc: 0.0000 0.0000 0.0000  4 Be 2.82, 4 Mn 2.88, 4 Sc 2.88
Sc: 0.2500 0.7500 0.5000  4 Mn 2.82, 4 Sc 2.88, 4 Be 2.88
Be: 0.5000 0.5000 0.0000  8 Sc 2.82-2.88, 4 Mn 2.88
Mn: 0.7500 0.2500 0.5000  8 Sc 2.82-2.88, 4 Be 2.88


VASP calculation (GGA-PBE) on an optimized crystal structure of ScMn2Be2.

Unit cell a=6.5378 b=6.5378 c=2.8233 alpha=90.00 beta=90.00 gamma=90.00
Closest atoms and distances in Å follow each position.
Fractional coordinates of all 10 atoms:
Sc: 0.0000 0.0000 0.0000  4 Be 2.62, 8 Mn 2.80, 2 Sc 2.82
Sc: 0.5000 0.5000 0.0000  4 Be 2.62, 8 Mn 2.80, 2 Sc 2.82
Be: 0.3843 0.8843 0.0000  1 Be 2.14, 4 Mn 2.38
Be: 0.8843 0.6157 0.0000  1 Be 2.14, 4 Mn 2.38
Be: 0.6157 0.1157 0.0000  1 Be 2.14, 4 Mn 2.38
Be: 0.1157 0.3843 0.0000  1 Be 2.14, 4 Mn 2.38
Mn: 0.1726 0.6726 0.5000  6 Be 2.38-2.41
Mn: 0.6726 0.8274 0.5000  6 Be 2.38-2.41
Mn: 0.8274 0.3274 0.5000  6 Be 2.38-2.41
Mn: 0.3274 0.1726 0.5000  6 Be 2.38-2.41


VASP calculation (GGA-PBE) on an optimized crystal structure of Sc2MnBe.

Unit cell a=9.5951 b=9.5951 c=9.5951 alpha=17.76 beta=17.76 gamma=17.76
Closest atoms and distances in Å follow each position.
Fractional coordinates of all 4 atoms:
Sc: 0.9029 0.9029 0.9029  3 Mn 2.61, 1 Be 2.75
Sc: 0.0971 0.0971 0.0971  3 Mn 2.61, 1 Be 2.75
Be: 0.0000 0.0000 0.0000  2 Sc 2.75, 6 Be 2.96
Mn: 0.5000 0.5000 0.5000  6 Sc 2.61


VASP calculation (GGA-PBE) on an optimized crystal structure of ScMn2Be2.

Unit cell a=6.8808 b=6.8808 c=2.4809 alpha=90.00 beta=90.00 gamma=90.00
Closest atoms and distances in Å follow each position.
Fractional coordinates of all 10 atoms:
Sc: 0.0000 0.0000 0.0000  2 Sc 2.48, 4 Mn 2.76
Sc: 0.5000 0.5000 0.0000  2 Sc 2.48, 4 Mn 2.76
Be: 0.1751 0.6751 0.5000  6 Mn 2.39, 2 Be 2.48
Be: 0.6751 0.8249 0.5000  6 Mn 2.39, 2 Be 2.48
Be: 0.8249 0.3249 0.5000  6 Mn 2.39, 2 Be 2.48
Be: 0.3249 0.1751 0.5000  6 Mn 2.39, 2 Be 2.48
Mn: 0.3846 0.8846 0.0000  3 Mn 2.25-2.48, 6 Be 2.39
Mn: 0.8846 0.6154 0.0000  3 Mn 2.25-2.48, 6 Be 2.39
Mn: 0.6154 0.1154 0.0000  3 Mn 2.25-2.48, 6 Be 2.39
Mn: 0.1154 0.3846 0.0000  3 Mn 2.25-2.48, 6 Be 2.39


VASP calculation (GGA-PBE) on an optimized crystal structure of ScMnBe2.

Unit cell a=4.5715 b=4.5715 c=4.5715 alpha=132.69 beta=132.69 gamma=69.15
Closest atoms and distances in Å follow each position.
Fractional coordinates of all 4 atoms:
Sc: 0.7500 0.2500 0.5000  8 Be 2.59-2.63, 4 Mn 2.63
Be: 0.0000 0.0000 0.0000  4 Mn 2.59, 4 Be 2.63, 4 Sc 2.63
Be: 0.2500 0.7500 0.5000  4 Sc 2.59, 4 Be 2.63, 4 Mn 2.63
Mn: 0.5000 0.5000 0.0000  8 Be 2.59-2.63, 4 Sc 2.63


VASP calculation (GGA-PBE) on an optimized crystal structure of ScMnBe2.

Unit cell a=3.5604 b=2.9336 c=5.1414 alpha=73.41 beta=90.00 gamma=90.00
Closest atoms and distances in Å follow each position.
Fractional coordinates of all 4 atoms:
Sc: 0.5000 0.7943 0.7866  7 Be 2.59-2.76
Be: 0.0000 0.1677 0.0397  2 Be 2.09
Be: 0.5000 0.0567 0.2616  2 Be 2.09
Mn: 0.0000 0.4813 0.4122  6 Be 2.35-2.42


VASP calculation (GGA-PBE) on an optimized crystal structure of Sc2MnBe.

Unit cell a=4.5842 b=4.5843 c=3.1999 alpha=90.00 beta=90.00 gamma=90.00
Closest atoms and distances in Å follow each position.
Fractional coordinates of all 4 atoms:
Sc: 0.0000 0.0000 0.0000  4 Be 2.80, 4 Mn 2.80
Sc: 0.5000 0.5000 0.0000  4 Mn 2.80, 4 Be 2.80
Be: 0.5000 0.0000 0.5000  8 Sc 2.80
Mn: 0.0000 0.5000 0.5000  8 Sc 2.80


VASP calculation (GGA-PBE) on an optimized crystal structure of Sc2MnBe2.

Unit cell a=6.3394 b=6.3394 c=3.9016 alpha=90.00 beta=90.00 gamma=90.00
Closest atoms and distances in Å follow each position.
Fractional coordinates of all 10 atoms:
Sc: 0.1791 0.6791 0.5000  6 Be 2.66-2.74
Sc: 0.6791 0.8209 0.5000  6 Be 2.66-2.74
Sc: 0.8209 0.3209 0.5000  6 Be 2.66-2.74
Sc: 0.3209 0.1791 0.5000  6 Be 2.66-2.74
Be: 0.3805 0.8805 0.0000  1 Be 2.14
Be: 0.8805 0.6195 0.0000  1 Be 2.14
Be: 0.6195 0.1195 0.0000  1 Be 2.14
Be: 0.1195 0.3805 0.0000  1 Be 2.14
Mn: 0.0000 0.0000 0.0000  4 Be 2.53
Mn: 0.5000 0.5000 0.0000  4 Be 2.53


VASP calculation (GGA-PBE) on an optimized crystal structure of ScMnBe2.

Unit cell a=4.1834 b=4.1834 c=2.9288 alpha=90.00 beta=90.00 gamma=90.00
Closest atoms and distances in Å follow each position.
Fractional coordinates of all 4 atoms:
Sc: 0.0000 0.5000 0.5000  8 Be 2.55
Be: 0.0000 0.0000 0.0000  4 Mn 2.55, 4 Sc 2.55
Be: 0.5000 0.5000 0.0000  4 Mn 2.55, 4 Sc 2.55
Mn: 0.5000 0.0000 0.5000  8 Be 2.55


VASP calculation (GGA-PBE) on an optimized crystal structure of ScMnBe17.

Unit cell a=5.5679 b=5.5679 c=5.5679 alpha=82.97 beta=82.97 gamma=82.97
Closest atoms and distances in Å follow each position.
Fractional coordinates of all 19 atoms:
Sc: 0.3393 0.3393 0.3393  19 Be 2.62-2.80
Mn: 0.6692 0.6692 0.6692  13 Be 2.46-2.68
Be: 0.2988 0.9953 0.7062  8 Be 2.10-2.25
Be: 0.7062 0.2988 0.9953  8 Be 2.10-2.25
Be: 0.9953 0.7062 0.2988  8 Be 2.10-2.25
Be: 0.2988 0.7062 0.9953  8 Be 2.10-2.25
Be: 0.9953 0.2988 0.7062  8 Be 2.10-2.25
Be: 0.7062 0.9953 0.2988  8 Be 2.10-2.25
Be: 0.3491 0.8357 0.3491  9 Be 2.14-2.36
Be: 0.3491 0.3491 0.8357  9 Be 2.14-2.36
Be: 0.8357 0.3491 0.3491  9 Be 2.14-2.36
Be: 0.6566 0.1472 0.6566  9 Be 2.13-2.25
Be: 0.6566 0.6566 0.1472  9 Be 2.13-2.25
Be: 0.1472 0.6566 0.6566  9 Be 2.13-2.25
Be: 0.0034 0.4964 0.0034  10 Be 2.10-2.26
Be: 0.0034 0.0034 0.4964  10 Be 2.10-2.26
Be: 0.4964 0.0034 0.0034  10 Be 2.10-2.26
Be: 0.8979 0.8979 0.8979  7 Be 2.13-2.26
Be: 0.0955 0.0955 0.0955  7 Be 2.13-2.36


| no. | DOS at the Fermi energy (states/eV per cell) | energy (eV/cell) | DFT formation energy (eV/atom) |
| --- | --- | --- | --- |
| 1 | 2.8 | -23.12 | -0.04 |
| 2 | 2.3 | -22.49 | 0.12 |
| 3 | 3.1 | -21.33 | 0.41 |
| 4 | 3.0 | -25.38 | 0.04 |
| 5 | 2.5 | -25.44 | 0.03 |
| 6 | 4.7 | -45.80 | 0.66 |
| 7 | 5.0 | -34.08 | 0.69 |
| 8 | 4.2 | -25.11 | 0.11 |
| 9 | 1.4 | -25.32 | 0.27 |
| 10 | 4.4 | -31.41 | -0.17 |
| 11 | 4.4 | -24.91 | 0.16 |
| 12 | 7.2 | -64.35 | -0.01 |
| 13 | 5.6 | -22.70 | 0.71 |
| 14 | 8.0 | -63.42 | 0.08 |
| 15 | 2.1 | -22.13 | 0.21 |
| 16 | 2.9 | -22.79 | 0.04 |
| 17 | 5.5 | -25.26 | 0.07 |
| 18 | 12.0 | -57.98 | 0.06 |
| 19 | 3.2 | -22.31 | 0.16 |
| 20 | 4.7 | -81.06 | -0.12 |